1.
This record from Alexandria via LeMat-Bulk describes NpAg4O5 after structural relaxation. The functional is PBE-GGA.

Results
**E_tot**: -120.3 eV/cell

a b c (Å): 8.5864 8.5864 4.1264
angles (deg): 90.00 90.00 90.00
Closest atoms and distances in Å follow each position.
Space group I4/m (No. 87)
Inequivalent atoms, fractional coordinates:
Np 0.0000 0.0000 0.0000  6 O 2.01-2.06
Ag 0.0979 0.6411 0.5000  3 O 2.47-2.48
O 0.0000 0.0000 0.5000  2 Np 2.06
O 0.1211 0.8000 0.0000  1 Np 2.01

2.
This record from Alexandria via LeMat-Bulk describes NpAgO6 after structural relaxation. The functional is PBE-GGA.

Results
**E_tot**: -107.8 eV/cell

a b c (Å): 5.5368 9.1257 5.5339
angles (deg): 90.00 110.73 90.00
Closest atoms and distances in Å follow each position.
Space group C2/m (No. 12)
Inequivalent atoms, fractional coordinates:
Np 0.0000 0.0000 0.0000  6 O 1.83-2.04
Ag 0.0000 0.5000 0.5000  4 O 2.02
O 0.2004 0.0000 0.7982  1 Np 1.83
O 0.2474 0.3600 0.7489  1 Ag 2.02, 1 Np 2.04

3.
This record from Alexandria via LeMat-Bulk describes Np2Ag5O12 after structural relaxation. The functional is PBE-GGA.

Results
**E_tot**: -120.5 eV/cell

a b c (Å): 6.3078 6.3352 8.8316
angles (deg): 93.47 90.02 114.30
Closest atoms and distances in Å follow each position.
Space group P-1 (No. 2)
Inequivalent atoms, fractional coordinates:
Np 0.2429 0.2503 0.0093  2 O 1.84-1.87
Ag 0.0000 0.5000 0.5000  4 O 2.06
Ag 0.2893 0.2159 0.5073  4 O 2.20-2.26
Ag 0.2906 0.7890 0.2651  4 O 2.18-2.30
O 0.0787 0.9129 0.8968  2 Np 2.06-2.13
O 0.0844 0.8416 0.4584  4 Ag 2.06-2.26
O 0.1122 0.3640 0.8670  1 Np 1.84
O 0.3365 0.5639 0.4426  4 Ag 2.06-2.28
O 0.3697 0.1336 0.1570  1 Np 1.87
O 0.4363 0.6137 0.1030  2 Np 2.12-2.22, 1 Ag 2.18

4.
This record from Alexandria via LeMat-Bulk describes NpAgO4 after structural relaxation. The functional is PBE-GGA.

Results
**Energy above the lowest structure with this stoichiometry**: 0.260 eV per atom

a b c (Å): 6.4800 6.4800 6.1419
angles (deg): 90.00 90.00 90.00
Closest atoms and distances in Å follow each position.
Space group I-4 (No. 82)
Inequivalent atoms, fractional coordinates:
Np 0.0000 0.0000 0.0000  4 O 1.88
Ag 0.0000 0.5000 0.2500  4 O 2.29
O 0.1410 0.2520 0.0286  1 Np 1.88

5.
This record from Alexandria via LeMat-Bulk describes NpAg2O6 after structural relaxation. The functional is PBE-GGA.

Results
**E_tot**: -237.1 eV/cell

a b c (Å): 9.7017 11.3452 5.9462
angles (deg): 90.00 91.44 90.00
Closest atoms and distances in Å follow each position.
Space group C2/c (No. 15)
Inequivalent atoms, fractional coordinates:
Np 0.0000 0.0821 0.2500  4 O 1.95-2.07
Ag 0.2441 0.1787 0.7288  2 O 2.11-2.12
O 0.0643 0.4978 0.5042  1 O 1.25
O 0.1094 0.0488 0.5892  2 Np 2.07-2.29, 1 Ag 2.12
O 0.1183 0.2004 0.1165  1 Np 1.95, 1 Ag 2.11

6.
This record from Alexandria via LeMat-Bulk describes Np3Ag5O12 after structural relaxation. The functional is PBE-GGA.

Results
**Energy above the lowest structure with this stoichiometry**: 0.285 eV per atom

a b c (Å): 13.0718 13.0718 13.0718
angles (deg): 90.00 90.00 90.00
Closest atoms and distances in Å follow each position.
Space group Ia-3d (No. 230)
Inequivalent atoms, fractional coordinates:
Np 0.0000 0.2500 0.1250  4 O 2.04
Ag 0.0000 0.0000 0.0000  6 O 2.31
Ag 0.0000 0.2500 0.3750  4 O 2.30
O 0.0208 0.0966 0.6465  1 Np 2.04